[1]
ZrAlPd | the Alexandria database | SCAN | PBEsol geometry; ρ = 7.41 g cm⁻³; spin magnetization = 2.49 μB/cell; calculated formation energy = -2.43 eV/f.u.; V = 201.4 Å³/cell; DOS at the Fermi energy = 8.17 states/eV/cell
1.0
5.2511 -0.0018 0.0000
-2.5608 4.5844 0.0000
0.0000 0.0000 8.3697
Pd Al Zr
4 4 4
Cartesian
-1.2531 3.8166 0.0000
3.9654 0.7530 4.1849
0.0177 1.5510 0.0000
1.3446 3.8112 0.0000
1.4056 0.7706 4.1849
5.2190 0.0171 6.3139
5.2190 0.0171 2.0558
2.7024 2.9796 4.1849
0.0381 3.0586 5.8493
2.6270 1.5388 1.5099
2.6270 1.5388 6.8598
0.0381 3.0586 2.5204


[2]
ZrAl2Pd2 | the Alexandria database | SCAN | PBEsol geometry; ρ = 7.05 g cm⁻³; spin magnetization = 0.00 μB/cell; calculated formation energy = -3.88 eV/f.u.; V = 84.3 Å³/cell; DOS at the Fermi energy = 2.76 states/eV/cell
1.0
3.7793 0.0000 0.0000
0.0000 3.7793 0.0000
-1.8896 -1.8896 5.9012
Al Pd Zr
2 2 1
Cartesian
0.0000 1.8896 2.9506
1.8896 0.0000 2.9506
1.8896 1.8896 1.2888
0.0000 0.0000 4.6124
0.0000 0.0000 0.0000


[3]
Zr6Al16Pd7 | the Alexandria database | SCAN | PBEsol geometry; ρ = 6.14 g cm⁻³; spin magnetization = 0.00 μB/cell; calculated formation energy = -26.11 eV/f.u.; V = 466.4 Å³/cell; DOS at the Fermi energy = 9.28 states/eV/cell
1.0
-6.5747 -4.2647 3.7897
-0.7000 -8.6273 -0.9254
1.5436 -5.2436 6.7748
Al Zr Pd
16 6 7
Cartesian
-4.8383 -8.5974 1.9264
-3.3512 -6.3548 7.0300
0.1125 -4.9024 4.6760
-5.8437 -13.2332 4.9630
-1.0524 -6.6591 0.6781
-4.1024 -4.3941 3.1262
-2.3799 -11.7808 2.6090
-3.8152 -12.0728 6.4167
-1.9160 -6.0628 3.2224
-5.0423 -15.9557 8.4804
-0.6889 -2.1799 1.1586
-6.2736 -8.8894 5.7341
-4.6788 -11.4765 8.9609
-1.6287 -13.7415 6.5128
-0.8929 -9.5382 7.7126
0.5424 -9.2462 3.9049
-4.2531 -7.2711 4.4343
-1.2162 -7.6373 5.5509
-3.6757 -9.2326 6.9685
-1.4781 -10.8645 5.2047
-4.5149 -10.4983 4.0881
-2.0555 -8.9030 2.6705
0.0000 0.0000 0.0000
-2.5156 -4.7542 5.2822
0.4218 -6.9355 2.9247
0.7718 -2.6218 3.3874
-3.2874 -2.1323 1.8948
-3.6374 -6.4460 1.4321
-0.3500 -4.3136 -0.4627


[4]
ZrAl2Pd | the Alexandria database | SCAN | PBEsol geometry; ρ = 5.80 g cm⁻³; spin magnetization = 0.00 μB/cell; calculated formation energy = -1.83 eV/f.u.; V = 144.0 Å³/cell; DOS at the Fermi energy = 2.99 states/eV/cell
1.0
5.5646 0.0000 0.0000
2.7823 5.0872 0.0000
2.7823 0.0000 5.0872
Zr Al Pd
2 4 2
Cartesian
2.7823 0.0000 0.0000
4.1734 2.5436 2.5436
6.2601 2.7483 4.8825
2.0867 0.2047 2.7483
7.6513 4.8825 2.3389
6.2601 2.3389 0.2047
6.9557 2.5436 2.5436
0.0000 0.0000 0.0000


[5]
PmSmAl2 | the Alexandria database | SCAN | PBEsol geometry; ρ = 6.02 g cm⁻³; spin magnetization = 0.00 μB/cell; calculated formation energy = -1.60 eV/f.u.; V = 96.4 Å³/cell; DOS at the Fermi energy = 1.04 states/eV/cell
1.0
5.1464 0.0000 0.0000
2.5732 4.4569 0.0000
2.5732 1.4856 4.2020
Al Sm Pm
2 1 1
Cartesian
2.5732 1.4856 1.0505
7.7196 4.4569 3.1515
5.1464 2.9713 2.1010
0.0000 0.0000 0.0000


[6]
PrAl3 | the Alexandria database | SCAN | PBEsol geometry; ρ = 4.50 g cm⁻³; spin magnetization = 0.00 μB/cell; calculated formation energy = -1.44 eV/f.u.; V = 81.9 Å³/cell; DOS at the Fermi energy = 1.13 states/eV/cell
1.0
-2.8703 1.6110 2.8334
-0.4859 -3.9448 1.7507
3.2230 0.8400 2.7873
Al Pr
3 1
Cartesian
0.1764 1.2255 2.8104
1.3685 -1.5524 2.2690
-1.6781 -1.1669 2.2921
0.0000 0.0000 0.0000


[7]
PrAl3 | the Alexandria database | SCAN | PBEsol geometry; ρ = 4.41 g cm⁻³; spin magnetization = 0.00 μB/cell; calculated formation energy = -1.87 eV/f.u.; V = 167.0 Å³/cell; DOS at the Fermi energy = 2.80 states/eV/cell
1.0
-0.5714 -2.6053 3.7647
1.9806 -5.1966 -3.2956
4.2935 3.6444 3.1737
Pr Al
2 6
Cartesian
3.3797 0.0461 1.9584
2.3230 -4.2036 1.6844
3.5374 0.4381 5.0809
1.0264 -1.6073 0.4571
4.6344 -2.4999 0.3870
4.6763 -2.5503 3.1857
2.1653 -4.5956 -1.4381
1.0683 -1.6577 3.2558


[8]
Pr3Al11 | the Alexandria database | SCAN | PBEsol geometry; ρ = 4.24 g cm⁻³; spin magnetization = 0.02 μB/cell; calculated formation energy = -5.69 eV/f.u.; V = 281.5 Å³/cell; DOS at the Fermi energy = 3.73 states/eV/cell
1.0
-2.1769 2.2571 3.0303
-2.1766 -5.7149 5.8308
5.4115 0.7831 6.4420
Pr Al
3 11
Cartesian
0.0000 0.0000 0.0000
1.5184 -2.6517 9.3414
-0.4605 -0.0230 5.9617
-1.5323 -2.6551 10.2900
1.6174 -2.4659 6.1364
-1.0951 -2.7281 7.5207
2.1530 0.0534 7.7823
-0.8322 -2.9503 4.7374
1.8901 0.2756 10.5656
0.8006 0.7885 3.1255
-1.1853 -0.9121 2.9656
2.5902 -0.0196 5.0131
0.2573 -3.4632 12.1775
2.2432 -1.7626 12.3375